A crystal of AsPbO2 relaxed with PBEsol, computed with meta-GGA SCAN.

abc: 5.3818 5.3818 10.0688
angles: 90.00 90.00 90.00
Last column: nearest neighbours and their distance in Å.
Positions (direct):
1 As 0.0000 0.0000 0.0000  4 O 2.05
2 As 0.0000 0.5000 0.2500  4 O 2.05
3 As 0.5000 0.0000 0.7500  4 O 2.05
4 As 0.5000 0.5000 0.5000  4 O 2.05
5 Pb 0.0000 0.0000 0.5000  4 O 2.57
6 Pb 0.0000 0.5000 0.7500  4 O 2.57
7 Pb 0.5000 0.0000 0.2500  4 O 2.57
8 Pb 0.5000 0.5000 0.0000  4 O 2.57
9 O 0.1680 0.2500 0.1250  2 As 2.05
10 O 0.2500 0.6680 0.3750  2 As 2.05
11 O 0.2500 0.8320 0.8750  2 As 2.05
12 O 0.3320 0.2500 0.6250  2 As 2.05
13 O 0.6680 0.7500 0.6250  2 As 2.05
14 O 0.7500 0.1680 0.8750  2 As 2.05
15 O 0.7500 0.3320 0.3750  2 As 2.05
16 O 0.8320 0.7500 0.1250  2 As 2.05

Output
M_tot = 0.0 μB per cell
DOS at the Fermi energy = 1.3 states/eV/f.u.
Total DFT energy (no corrections) = -27.6100 eV per atom
ΔE_f (raw) = -0.501 eV/atom